{"formula": "Tb2Zn3SiNi12", "functional": "PBE", "state": "optimized geometry", "final_energy_ev_per_atom": -4.8961, "cell": [[-5.267, 1.336, 7.231], [-1.186, -2.926, 8.476], [0.406, 2.890, 8.561]], "species": ["Tb", "Ni", "Ni", "Ni", "Si", "Ni", "Zn", "Zn", "Ni", "Ni", "Tb", "Ni", "Ni", "Ni", "Ni", "Ni", "Ni", "Zn"], "fractional_positions": [[0.652, 0.652, 0.652], [0.646, 0.077, 0.077], [0.354, 0.923, 0.923], [0.189, 0.578, 0.578], [0.000, 0.000, 0.000], [0.422, 0.422, 0.811], [0.000, 0.500, 0.000], [0.500, 0.000, 0.000], [0.077, 0.077, 0.646], [0.422, 0.811, 0.422], [0.348, 0.348, 0.348], [0.077, 0.646, 0.077], [0.578, 0.578, 0.189], [0.923, 0.354, 0.923], [0.811, 0.422, 0.422], [0.923, 0.923, 0.354], [0.578, 0.189, 0.578], [0.000, 0.000, 0.500]]}